# 1
VASP calculation (PBE) on an optimized crystal structure of Hg5Pd6Pt.

a = 7.7991 Å, b = 7.7991 Å, c = 7.7991 Å
α = 147.57°, β = 122.83°, γ = 67.28°
Last column: nearest neighbours and their distance in Å.
Positions (direct):
Hg 0.0000 0.0000 0.0000  8 Pd 2.85-2.86, 4 Hg 3.09
Hg 0.1684 0.6684 0.5000  8 Pd 2.85-2.87, 4 Hg 3.09-3.12
Hg 0.3408 0.3408 0.0000  8 Pd 2.79-2.94, 2 Pt 3.00, 2 Hg 3.12
Hg 0.6592 0.6592 0.0000  8 Pd 2.79-2.94, 2 Pt 3.00, 2 Hg 3.12
Hg 0.8316 0.3316 0.5000  8 Pd 2.85-2.87, 4 Hg 3.09-3.12
Pd 0.0837 0.8340 0.2497  7 Hg 2.85-2.94, 1 Pt 2.85, 4 Pd 3.06-3.08
Pd 0.2482 0.5000 0.7482  6 Hg 2.79-2.87, 2 Pt 2.88, 4 Pd 3.06
Pd 0.4156 0.1660 0.2497  7 Hg 2.85-2.94, 1 Pt 2.85, 4 Pd 3.06-3.08
Pd 0.5844 0.8340 0.7503  7 Hg 2.85-2.94, 1 Pt 2.85, 4 Pd 3.06-3.08
Pd 0.7518 0.5000 0.2518  6 Hg 2.79-2.87, 2 Pt 2.88, 4 Pd 3.06
Pd 0.9163 0.1660 0.7503  7 Hg 2.85-2.94, 1 Pt 2.85, 4 Pd 3.06-3.08
Pt 0.5000 0.0000 0.5000  8 Pd 2.85-2.88, 4 Hg 3.00

The calculated formation energy comes out at -1.72 eV/f.u.

---

# 2
VASP calculation (PBE) on an optimized crystal structure of Ac3Dy.

a = 7.3947 Å, b = 7.3947 Å, c = 7.3947 Å
α = 149.12°, β = 63.60°, γ = 125.90°
Last column: nearest neighbours and their distance in Å.
Positions (direct):
Ac 0.0000 0.0000 0.0000  8 Ac 3.83-3.94, 4 Dy 3.88-3.92
Ac 0.0982 0.3417 0.7565  3 Dy 3.80-3.94, 9 Ac 3.83-3.94
Ac 0.5852 0.3417 0.2435  3 Dy 3.80-3.94, 9 Ac 3.83-3.94
Dy 0.5037 0.0037 0.5000  10 Ac 3.80-3.94, 2 Dy 3.94

The calculated formation energy comes out at 0.26 eV/f.u.

---

# 3
VASP calculation (PBE) on an optimized crystal structure of HoMgCo.

a = 7.6200 Å, b = 7.6200 Å, c = 7.6200 Å
α = 34.90°, β = 34.90°, γ = 34.90°
Last column: nearest neighbours and their distance in Å.
Positions (direct):
Ho 0.2480 0.2480 0.2480  4 Co 2.63-2.78
Ho 0.7520 0.7520 0.7520  4 Co 2.63-2.78
Mg 0.0000 0.0000 0.0000  2 Co 2.69
Mg 0.5000 0.5000 0.5000  6 Co 2.78
Co 0.1256 0.1256 0.1256  4 Ho 2.63-2.78, 4 Mg 2.69-2.78
Co 0.8744 0.8744 0.8744  4 Ho 2.63-2.78, 4 Mg 2.69-2.78

The calculated formation energy comes out at 0.10 eV/f.u.

---

# 4
VASP calculation (PBE) on an optimized crystal structure of AcCeSe.

a = 7.2202 Å, b = 7.2202 Å, c = 7.2202 Å
α = 149.60°, β = 149.60°, γ = 43.52°
Last column: nearest neighbours and their distance in Å.
Positions (direct):
Ac 0.0000 0.0000 0.0000  4 Se 3.38, 1 Ce 3.62
Ce 0.2703 0.2703 0.0000  4 Se 3.10
Se 0.6534 0.6534 0.0000  4 Ce 3.10, 4 Ac 3.38

The raw formation energy is -0.85 eV per atom. The energy above the lowest structure with this stoichiometry comes out at 0.145 eV per atom.

---

# 5
VASP calculation (PBE) on an optimized crystal structure of CeSc2Ag3Se6.

a = 7.0852 Å, b = 7.0852 Å, c = 6.8850 Å
α = 99.68°, β = 99.68°, γ = 120.23°
Last column: nearest neighbours and their distance in Å.
Positions (direct):
Ce 0.0000 0.0000 0.0000  6 Se 2.95
Sc 0.3313 0.6687 0.0000  6 Se 2.74-2.79
Sc 0.6687 0.3313 0.0000  6 Se 2.74-2.79
Ag 0.1583 0.8417 0.5000  6 Se 2.87-2.96
Ag 0.5000 0.5000 0.5000  6 Se 2.76-2.98
Ag 0.8417 0.1583 0.5000  6 Se 2.87-2.96
Se 0.0774 0.4323 0.2377  2 Sc 2.74-2.76, 3 Ag 2.87-2.98, 1 Ce 2.95
Se 0.2759 0.2759 0.7601  3 Ag 2.76-2.90, 2 Sc 2.79, 1 Ce 2.95
Se 0.4323 0.0774 0.2377  2 Sc 2.74-2.76, 3 Ag 2.87-2.98, 1 Ce 2.95
Se 0.5677 0.9226 0.7623  2 Sc 2.74-2.76, 3 Ag 2.87-2.98, 1 Ce 2.95
Se 0.7241 0.7241 0.2399  3 Ag 2.76-2.90, 2 Sc 2.79, 1 Ce 2.95
Se 0.9226 0.5677 0.7623  2 Sc 2.74-2.76, 3 Ag 2.87-2.98, 1 Ce 2.95

The raw formation energy is -1.06 eV per atom.

---

# 6
VASP calculation (PBE) on an optimized crystal structure of MgGaCu3.

a = 4.6362 Å, b = 4.6362 Å, c = 4.6362 Å
α = 90.00°, β = 90.00°, γ = 90.00°
Last column: nearest neighbours and their distance in Å.
Positions (direct):
Mg 0.0000 0.0000 0.0000  6 Cu 2.32
Ga 0.5000 0.5000 0.5000  12 Cu 3.28
Cu 0.0000 0.0000 0.5000  2 Mg 2.32
Cu 0.0000 0.5000 0.0000  2 Mg 2.32
Cu 0.5000 0.0000 0.0000  2 Mg 2.32

The calculated formation energy comes out at 4.44 eV/f.u. The energy above the lowest structure with this stoichiometry comes out at 0.695 eV per atom.